# Ga5Co6 | Alexandria via LeMat-Bulk | PBE | relaxed
# - electronic total energy (eV per atom) = -5.373
# - M_tot (μB per formula unit) = 0.0
# - energy of formation (eV/f.u.) = -1.3
data_Ga5Co6
_chemical_formula_sum 'Ga10 Co12'
_space_group_name_H-M_alt 'I m m m'
_space_group_IT_number 71
_space_group_name_Hall '-I 2 2'
_cell_length_a 4.010
_cell_length_b 5.682
_cell_length_c 12.037
_cell_angle_alpha 90.00
_cell_angle_beta 90.00
_cell_angle_gamma 90.00
loop_
_atom_site_label
_atom_site_fract_x
_atom_site_fract_y
_atom_site_fract_z
Ga1 0.000 0.000 0.000
Ga2 0.000 0.000 0.337
Ga3 0.000 0.500 0.334
Co1 0.000 0.244 0.500
Co2 0.000 0.253 0.165